(1)
PmSm7Mg2: relaxed, PBE. Values from VASP.

Properties
**Formation energy from the elements**: 543 meV per atom
**Crystal system**: orthorhombic

```
&SYSTEM
  ibrav = 0, nat = 10, ntyp = 3
/
ATOMIC_SPECIES
Sm 150.36 Sm.upf
Pm 145.00 Pm.upf
Mg 24.30 Mg.upf
CELL_PARAMETERS angstrom
5.399 0.000 0.000
0.000 9.319 -0.613
0.000 -4.661 8.093
ATOMIC_POSITIONS crystal
Sm 0.500 0.299 0.069
Sm 0.500 0.701 0.931
Sm 0.000 0.214 0.786
Sm 0.000 0.786 0.214
Sm 0.500 0.069 0.299
Sm 0.500 0.500 0.500
Sm 0.500 0.931 0.701
Pm 0.000 0.000 0.000
Mg 0.500 0.702 0.298
Mg 0.500 0.298 0.702
```

(2)
PrIn8Ir2: relaxed, PBE. Values from VASP.

Properties
**Formation energy from the elements**: 57 meV per atom
**Crystal system**: tetragonal

```
&SYSTEM
  ibrav = 0, nat = 11, ntyp = 3
/
ATOMIC_SPECIES
In 114.82 In.upf
Ir 192.22 Ir.upf
Pr 140.91 Pr.upf
CELL_PARAMETERS angstrom
6.414 0.000 0.000
0.000 6.414 0.000
0.000 0.000 7.921
ATOMIC_POSITIONS crystal
In 0.245 0.755 0.204
In 0.755 0.755 0.796
In 0.755 0.755 0.204
In 0.245 0.245 0.204
In 0.245 0.245 0.796
In 0.755 0.245 0.204
In 0.245 0.755 0.796
In 0.755 0.245 0.796
Ir 0.000 0.500 0.000
Ir 0.500 0.000 0.000
Pr 0.500 0.500 0.500
```

(3)
YCrAsSe2: relaxed, PBE. Values from VASP.

Properties
**Crystal system**: tetragonal
**Formation energy without anion corrections**: 0.199 eV per atom
**Polymorph energy (0 for the lowest one)**: 659 meV/atom

```
&SYSTEM
  ibrav = 0, nat = 5, ntyp = 4
/
ATOMIC_SPECIES
Cr 52.00 Cr.upf
Se 78.96 Se.upf
As 74.92 As.upf
Y 88.91 Y.upf
CELL_PARAMETERS angstrom
5.415 0.000 0.000
0.000 5.415 0.000
0.000 0.000 5.467
ATOMIC_POSITIONS crystal
Cr 0.500 0.500 0.500
Se 0.500 0.000 0.000
Se 0.000 0.500 0.000
As 0.000 0.000 0.500
Y 0.000 0.000 0.000
```

(4)
K3Ce2CoS6: relaxed, PBE. Values from VASP.

Properties
**Crystal system**: monoclinic
**Formation energy without anion corrections**: -1.348 eV per atom

```
&SYSTEM
  ibrav = 0, nat = 12, ntyp = 4
/
ATOMIC_SPECIES
K 39.10 K.upf
S 32.06 S.upf
Co 58.93 Co.upf
Ce 140.12 Ce.upf
CELL_PARAMETERS angstrom
-2.026 6.627 -0.022
-2.715 -4.470 -4.546
-3.757 -2.335 6.300
ATOMIC_POSITIONS crystal
K 0.500 0.500 0.500
K 0.834 0.166 0.500
K 0.166 0.834 0.500
S 0.384 0.066 0.197
S 0.747 0.747 0.197
S 0.934 0.616 0.803
S 0.066 0.384 0.197
S 0.616 0.934 0.803
S 0.253 0.253 0.803
Co 0.000 0.000 0.000
Ce 0.667 0.333 0.000
Ce 0.333 0.667 0.000
```